1.
Material: Li3NbMo
Method: DFT, GGA-PBE
State: optimized geometry Values from VASP.

Results
The density of states at the Fermi level comes out at 1.103 states/eV per atom. The value obtained for the formation enthalpy at 0 K is 1733 meV per atom. The uncorrected energy comes out at -0.132 Ha/atom. For the calculated volume, the calculation gives 84 Å³/f.u. The offset from the most stable computed form is 0 meV/atom.

The structure in Quantum ESPRESSO input format:
```
&SYSTEM
  ibrav = 0, nat = 5, ntyp = 3
/
ATOMIC_SPECIES
Li 6.94 Li.upf
Nb 92.91 Nb.upf
Mo 95.94 Mo.upf
ATOMIC_POSITIONS crystal
Li 0.000 0.000 0.500
Li 0.000 0.500 0.000
Li 0.500 0.000 0.000
Nb 0.500 0.500 0.500
Mo 0.000 0.000 0.000
CELL_PARAMETERS angstrom
4.384 0.000 0.000
0.000 4.384 0.000
0.000 0.000 4.384
```

2.
Material: RbAlAu4
Method: DFT, GGA-PBE
State: optimized geometry Values from VASP.

Results
The density of states at the Fermi level comes out at 0.375 states/eV per atom. The value obtained for the formation enthalpy at 0 K is -249 meV per atom. The uncorrected energy comes out at -0.118 Ha/atom. For the calculated volume, the calculation gives 141 Å³/f.u.

The structure in Quantum ESPRESSO input format:
```
&SYSTEM
  ibrav = 0, nat = 12, ntyp = 3
/
ATOMIC_SPECIES
Rb 85.47 Rb.upf
Al 26.98 Al.upf
Au 196.97 Au.upf
ATOMIC_POSITIONS crystal
Rb 0.217 0.217 0.369
Rb 0.783 0.783 0.631
Al 0.457 0.457 0.797
Al 0.543 0.543 0.203
Au 0.128 0.684 0.110
Au 0.241 0.759 0.500
Au 0.274 0.274 0.878
Au 0.316 0.872 0.890
Au 0.684 0.128 0.110
Au 0.726 0.726 0.122
Au 0.759 0.241 0.500
Au 0.872 0.316 0.890
CELL_PARAMETERS angstrom
6.780 -3.165 0.000
6.780 3.165 0.000
-0.050 0.000 6.579
```

3.
Material: LiTc
Method: DFT, GGA-PBE
State: optimized geometry Values from VASP.

Results
The density of states at the Fermi level comes out at 0.388 states/eV per atom. The value obtained for the formation enthalpy at 0 K is 261 meV per atom. The uncorrected energy comes out at -0.216 Ha/atom. For the calculated volume, the calculation gives 27 Å³/f.u. The offset from the most stable computed form is 168 meV/atom.

The structure in Quantum ESPRESSO input format:
```
&SYSTEM
  ibrav = 0, nat = 4, ntyp = 2
/
ATOMIC_SPECIES
Li 6.94 Li.upf
Tc 98.00 Tc.upf
ATOMIC_POSITIONS crystal
Li 0.140 0.280 0.420
Li 0.860 0.720 0.580
Tc 0.374 0.750 0.099
Tc 0.626 0.250 0.901
CELL_PARAMETERS angstrom
3.269 0.000 0.000
-1.621 4.061 0.000
-0.014 -1.815 4.062
```

4.
Material: LuTcB
Method: DFT, GGA-PBE
State: optimized geometry Values from VASP.

Results
The density of states at the Fermi level comes out at 0.652 states/eV per atom. The value obtained for the formation enthalpy at 0 K is -250 meV per atom. The uncorrected energy comes out at -0.273 Ha/atom. For the calculated volume, the calculation gives 47 Å³/f.u.

The structure in Quantum ESPRESSO input format:
```
&SYSTEM
  ibrav = 0, nat = 3, ntyp = 3
/
ATOMIC_SPECIES
Lu 174.97 Lu.upf
Tc 98.00 Tc.upf
B 10.81 B.upf
ATOMIC_POSITIONS crystal
Lu 0.000 0.000 0.000
Tc 0.667 0.333 0.500
B 0.333 0.667 0.500
CELL_PARAMETERS angstrom
3.791 0.000 0.000
-1.895 3.283 0.000
0.000 0.000 3.757
```

5.
Material: CaBi2H
Method: DFT, GGA-PBE
State: optimized geometry Values from VASP.

Results
The density of states at the Fermi level comes out at 0.467 states/eV per atom. The uncorrected energy comes out at -0.116 Ha/atom. For the calculated volume, the calculation gives 118 Å³/f.u.

The structure in Quantum ESPRESSO input format:
```
&SYSTEM
  ibrav = 0, nat = 16, ntyp = 3
/
ATOMIC_SPECIES
Ca 40.08 Ca.upf
Bi 208.98 Bi.upf
H 1.01 H.upf
ATOMIC_POSITIONS crystal
Ca 0.000 0.000 0.000
Ca 0.000 0.500 0.250
Ca 0.500 0.000 0.750
Ca 0.500 0.500 0.500
Bi 0.066 0.250 0.625
Bi 0.250 0.566 0.875
Bi 0.250 0.934 0.375
Bi 0.434 0.250 0.125
Bi 0.566 0.750 0.125
Bi 0.750 0.066 0.375
Bi 0.750 0.434 0.875
Bi 0.934 0.750 0.625
H 0.000 0.000 0.500
H 0.000 0.500 0.750
H 0.500 0.000 0.250
H 0.500 0.500 0.000
CELL_PARAMETERS angstrom
6.386 0.000 0.000
0.000 6.386 0.000
0.000 0.000 11.577
```

6.
Material: CaTcBi2O8
Method: DFT, GGA-PBE
State: optimized geometry Values from VASP.

Results
The density of states at the Fermi level comes out at 0.311 states/eV per atom. The uncorrected energy comes out at -0.236 Ha/atom. For the calculated volume, the calculation gives 178 Å³/f.u.

The structure in Quantum ESPRESSO input format:
```
&SYSTEM
  ibrav = 0, nat = 12, ntyp = 4
/
ATOMIC_SPECIES
Ca 40.08 Ca.upf
Tc 98.00 Tc.upf
Bi 208.98 Bi.upf
O 16.00 O.upf
ATOMIC_POSITIONS crystal
Ca 0.000 0.000 0.000
Tc 0.000 0.500 0.000
Bi 0.500 0.251 0.500
Bi 0.500 0.749 0.500
O 0.184 0.295 0.180
O 0.184 0.705 0.180
O 0.261 0.500 0.735
O 0.313 0.000 0.685
O 0.687 0.000 0.315
O 0.739 0.500 0.265
O 0.816 0.295 0.820
O 0.816 0.705 0.820
CELL_PARAMETERS angstrom
5.102 0.000 0.000
0.000 6.835 0.000
-0.070 0.000 5.115
```

7.
Material: ZnInAg
Method: DFT, GGA-PBE
State: optimized geometry Values from VASP.

Results
The density of states at the Fermi level comes out at 0.182 states/eV per atom. The value obtained for the formation enthalpy at 0 K is 4 meV per atom. The uncorrected energy comes out at -0.084 Ha/atom. For the calculated volume, the calculation gives 60 Å³/f.u. The offset from the most stable computed form is 0 meV/atom.

The structure in Quantum ESPRESSO input format:
```
&SYSTEM
  ibrav = 0, nat = 12, ntyp = 3
/
ATOMIC_SPECIES
Zn 65.41 Zn.upf
In 114.82 In.upf
Ag 107.87 Ag.upf
ATOMIC_POSITIONS crystal
Zn 0.000 0.250 0.000
Zn 0.000 0.750 0.000
Zn 0.500 0.250 0.000
Zn 0.500 0.750 0.000
In 0.250 0.000 0.369
In 0.250 0.500 0.631
In 0.750 0.000 0.631
In 0.750 0.500 0.369
Ag 0.250 0.000 0.754
Ag 0.250 0.500 0.246
Ag 0.750 0.000 0.246
Ag 0.750 0.500 0.754
CELL_PARAMETERS angstrom
5.563 0.000 0.000
0.000 5.563 0.000
-0.001 0.000 7.747
```

8.
Material: LiLa5Si4N10O
Method: DFT, GGA-PBE
State: optimized geometry Values from VASP.

Results
The density of states at the Fermi level comes out at 0.000 states/eV per atom. The uncorrected energy comes out at -0.294 Ha/atom. For the calculated volume, the calculation gives 291 Å³/f.u.

The structure in Quantum ESPRESSO input format:
```
&SYSTEM
  ibrav = 0, nat = 21, ntyp = 5
/
ATOMIC_SPECIES
Li 6.94 Li.upf
La 138.91 La.upf
Si 28.09 Si.upf
N 14.01 N.upf
O 16.00 O.upf
ATOMIC_POSITIONS crystal
Li 0.000 0.000 0.000
La 0.041 0.491 0.017
La 0.261 0.283 0.401
La 0.459 0.143 0.866
La 0.635 0.845 0.194
La 0.828 0.735 0.656
Si 0.169 0.795 0.437
Si 0.378 0.646 0.790
Si 0.722 0.362 0.272
Si 0.927 0.212 0.624
N 0.031 0.000 0.515
N 0.197 0.399 0.731
N 0.247 0.821 0.916
N 0.374 0.712 0.596
N 0.421 0.384 0.164
N 0.688 0.661 0.903
N 0.721 0.311 0.471
N 0.831 0.135 0.780
N 0.832 0.169 0.149
N 0.930 0.592 0.312
O 0.296 0.881 0.306
CELL_PARAMETERS angstrom
5.756 0.000 0.000
-0.536 6.546 0.000
-2.519 -2.099 7.726
```

Question: Among the records above, which one has the highest uncorrected energy?
Answer: ZnInAg

Question: What is the formula in the seventh record?
Answer: ZnInAg

Question: Which of these has the highest calculated volume?
Answer: LiLa5Si4N10O